Entry 1:
Mo2SeBr PBE optimized geometry; energy relative to the elements, uncorrected = 19.1 kcal/mol of atoms; V = 18.70 Å³/atom; DOS at the Fermi energy = 4.96 states/eV per cell; ρ = 7.8 g cm⁻³; ΔE to the lowest computed polymorph = 0.825 eV per atom
1.0
3.040 0.000 0.000
0.000 4.233 0.000
0.000 0.000 5.811
Mo Se Br
2 1 1
Direct
0.000 0.000 0.000
0.500 0.000 0.500
0.000 0.500 0.500
0.500 0.500 0.000

Entry 2:
Mo2SeBr PBE optimized geometry; energy relative to the elements, uncorrected = 18.2 kcal/mol of atoms; V = 18.73 Å³/atom; DOS at the Fermi energy = 9.27 states/eV per cell; ρ = 7.8 g cm⁻³; ΔE to the lowest computed polymorph = 0.782 eV per atom
1.0
3.025 0.000 0.000
0.000 5.811 0.000
0.000 0.000 8.525
Mo Se Br
4 2 2
Direct
0.000 0.000 0.236
0.000 0.000 0.764
0.500 0.500 0.264
0.500 0.500 0.736
0.000 0.500 0.500
0.500 0.000 0.000
0.000 0.500 0.000
0.500 0.000 0.500

Entry 3:
MoSeBr3 PBE optimized geometry; energy relative to the elements, uncorrected = -8.0 kcal/mol of atoms; V = 30.68 Å³/atom; DOS at the Fermi energy = 2.99 states/eV per cell; ρ = 4.5 g cm⁻³; ΔE to the lowest computed polymorph = 0.140 eV per atom
1.0
3.852 -5.863 0.000
3.852 5.863 0.000
0.000 0.000 6.791
Mo Se Br
2 2 6
Direct
0.015 0.985 0.750
0.985 0.015 0.250
0.206 0.794 0.750
0.794 0.206 0.250
0.216 0.784 0.250
0.254 0.254 0.000
0.254 0.254 0.500
0.746 0.746 0.000
0.746 0.746 0.500
0.784 0.216 0.750

Number 1: electronic total energy -5.8748 eV/atom. Number 2: electronic total energy -5.9176 eV/atom. Number 3: electronic total energy -4.2150 eV/atom.